Below is a relaxed HfAg2BPt crystal, with properties calculated at the GGA-PBE level.

* calculated volume: 138 Å³/cell
* size of the total moment: 0.00 μB/f.u.
* calculated formation energy: 884 kJ/mol of formula units
* total DFT energy (no corrections): -0.282 Ry/atom

Cell: 5.308 5.308 4.888 Å, 90.00 90.00 90.00°
Space group P4/mmm (No. 123)
One atom of each set of equivalent atoms:
Hf: 0.000 0.000 0.000
Ag: 0.000 0.500 0.000
B: 0.500 0.500 0.500
Pt: 0.000 0.000 0.500